1.
DyTm2Tc after structural relaxation. Source: the Alexandria database, functional PBE.

Formation enthalpy at 0 K, eV/atom: 0.15
E, eV per atom: -5.83
Magnetization, μB per cell: 0.000
Distance to the lowest polymorph of the same formula, meV/atom: 284.8
Crystal system: trigonal

a = 4.8199 Å, b = 4.8199 Å, c = 14.7038 Å
α = 90.00°, β = 90.00°, γ = 120.00°
Space group R-3m (No. 166, hexagonal axes)
One atom of each set of equivalent atoms:
Dy (0.0000, 0.0000, 0.0000) [3 per cell]
Tm (0.0000, 0.0000, 0.2272) [6 per cell]
Tc (0.0000, 0.0000, 0.5000) [3 per cell]

2.
BaTl4Cl after structural relaxation. Source: the Alexandria database, functional PBE.

E_form (uncorrected), eV per atom: -0.33
E, eV per atom: -2.54
Magnetization, μB per cell: 0.000
Crystal system: cubic

a = 9.2804 Å, b = 9.2804 Å, c = 9.2804 Å
α = 90.00°, β = 90.00°, γ = 90.00°
Space group F-43m (No. 216)
One atom of each set of equivalent atoms:
Ba (0.0000, 0.0000, 0.0000) [4 per cell]
Tl (0.1244, 0.1244, 0.3756) [16 per cell]
Cl (0.2500, 0.2500, 0.7500) [4 per cell]

3.
AlGa3Ir after structural relaxation. Source: the Alexandria database, functional PBE.

Formation enthalpy at 0 K, eV/atom: 0.04
E, eV per atom: -4.30
Magnetization, μB per cell: 0.000
Distance to the lowest polymorph of the same formula, meV/atom: 313.2
Crystal system: cubic

a = 4.8243 Å, b = 4.8243 Å, c = 4.8243 Å
α = 90.00°, β = 90.00°, γ = 90.00°
Space group Pm-3m (No. 221)
One atom of each set of equivalent atoms:
Al (0.0000, 0.0000, 0.0000) [1 per cell]
Ga (0.0000, 0.5000, 0.5000) [3 per cell]
Ir (0.5000, 0.5000, 0.5000) [1 per cell]

4.
MnGa after structural relaxation. Source: the Alexandria database, functional PBE.

Formation enthalpy at 0 K, eV/atom: 0.67
E, eV per atom: -5.42
Magnetization, μB per cell: 22.944
Crystal system: orthorhombic

a = 5.5678 Å, b = 6.1655 Å, c = 16.7262 Å
α = 90.00°, β = 90.00°, γ = 90.00°
Space group Fddd (No. 70, origin choice 2)
One atom of each set of equivalent atoms:
Mn (0.1250, 0.1250, 0.2617) [16 per cell]
Ga (0.1199, 0.3750, 0.8750) [16 per cell]

5.
Li4CdBi after structural relaxation. Source: the Alexandria database, functional PBE.

Formation enthalpy at 0 K, eV/atom: -0.32
E, eV per atom: -2.40
Magnetization, μB per cell: 0.000
Distance to the lowest polymorph of the same formula, meV/atom: 0.0
Crystal system: orthorhombic

a = 6.1051 Å, b = 16.3650 Å, c = 4.7036 Å
α = 90.00°, β = 90.00°, γ = 90.00°
Space group Cmcm (No. 63)
One atom of each set of equivalent atoms:
Li (0.2424, 0.0429, 0.2500) [8 per cell]
Li (0.2463, 0.2081, 0.2500) [8 per cell]
Cd (0.0000, 0.1175, 0.7500) [4 per cell]
Bi (0.0000, 0.3711, 0.2500) [4 per cell]

6.
GdYLuRu after structural relaxation. Source: the Alexandria database, functional PBE.

Formation enthalpy at 0 K, eV/atom: 0.07
E, eV per atom: -8.51
Magnetization, μB per cell: 28.594
Crystal system: cubic

a = 7.2837 Å, b = 7.2837 Å, c = 7.2837 Å
α = 90.00°, β = 90.00°, γ = 90.00°
Space group F-43m (No. 216)
One atom of each set of equivalent atoms:
Gd (0.0000, 0.0000, 0.0000) [4 per cell]
Y (0.0000, 0.0000, 0.5000) [4 per cell]
Lu (0.2500, 0.2500, 0.2500) [4 per cell]
Ru (0.2500, 0.2500, 0.7500) [4 per cell]

E of number 1 (DyTm2Tc)? -5.83 eV per atom

magnetization of number 2 (BaTl4Cl)? 0.000 μB per cell

Which of these has the lowest E? GdYLuRu